Compound: Sm2O3
Source: Alexandria via LeMat-Bulk
Functional: PBE
Structure: relaxed

abc: 9.5247 9.5247 9.5247
angles: 109.47 109.47 109.47
With the nearest neighbours (Å) after each atom.
Sites, in units of the cell vectors:
Sm  0.0000  0.0000  0.5000  6 O 2.37
Sm  0.0000  0.5000  0.0000  6 O 2.37
Sm  0.0314  0.7500  0.7814  6 O 2.34-2.42
Sm  0.2186  0.9686  0.2500  6 O 2.34-2.42
Sm  0.2500  0.2186  0.9686  6 O 2.34-2.42
Sm  0.2500  0.7186  0.4686  6 O 2.34-2.42
Sm  0.2814  0.5314  0.7500  6 O 2.34-2.42
Sm  0.4686  0.2500  0.7186  6 O 2.34-2.42
Sm  0.5000  0.0000  0.0000  6 O 2.37
Sm  0.5000  0.5000  0.5000  6 O 2.37
Sm  0.5314  0.7500  0.2814  6 O 2.34-2.42
Sm  0.7186  0.4686  0.2500  6 O 2.34-2.42
Sm  0.7500  0.2814  0.5314  6 O 2.34-2.42
Sm  0.7500  0.7814  0.0314  6 O 2.34-2.42
Sm  0.7814  0.0314  0.7500  6 O 2.34-2.42
Sm  0.9686  0.2500  0.2186  6 O 2.34-2.42
O  0.0119  0.0410  0.2713  4 Sm 2.34-2.42
O  0.0291  0.4881  0.7594  4 Sm 2.34-2.42
O  0.0410  0.2713  0.0119  4 Sm 2.34-2.42
O  0.2287  0.2697  0.7406  4 Sm 2.34-2.42
O  0.2303  0.4590  0.4709  4 Sm 2.34-2.42
O  0.2406  0.9709  0.5119  4 Sm 2.34-2.42
O  0.2594  0.7713  0.7303  4 Sm 2.34-2.42
O  0.2697  0.7406  0.2287  4 Sm 2.34-2.42
O  0.2713  0.0119  0.0410  4 Sm 2.34-2.42
O  0.4590  0.4709  0.2303  4 Sm 2.34-2.42
O  0.4709  0.2303  0.4590  4 Sm 2.34-2.42
O  0.4881  0.7594  0.0291  4 Sm 2.34-2.42
O  0.5119  0.2406  0.9709  4 Sm 2.34-2.42
O  0.5291  0.7697  0.5410  4 Sm 2.34-2.42
O  0.5410  0.5291  0.7697  4 Sm 2.34-2.42
O  0.7287  0.9881  0.9590  4 Sm 2.34-2.42
O  0.7303  0.2594  0.7713  4 Sm 2.34-2.42
O  0.7406  0.2287  0.2697  4 Sm 2.34-2.42
O  0.7594  0.0291  0.4881  4 Sm 2.34-2.42
O  0.7697  0.5410  0.5291  4 Sm 2.34-2.42
O  0.7713  0.7303  0.2594  4 Sm 2.34-2.42
O  0.9590  0.7287  0.9881  4 Sm 2.34-2.42
O  0.9709  0.5119  0.2406  4 Sm 2.34-2.42
O  0.9881  0.9590  0.7287  4 Sm 2.34-2.42

Calculated values
Density   6.96 g/cm³
Formation energy (no corrections)   -3443 meV/atom
Spin magnetization   0.000 μB/atom


Compound: Sm2O3
Source: Alexandria via LeMat-Bulk
Functional: PBE
Structure: relaxed

abc: 7.4217 7.4217 8.9162
angles: 99.95 99.95 28.31
With the nearest neighbours (Å) after each atom.
Sites, in units of the cell vectors:
Sm  0.0327  0.0327  0.3127  4 O 2.28-2.33
Sm  0.3088  0.3088  0.3622  6 O 2.31-2.49
Sm  0.3654  0.3654  0.0112  6 O 2.31-2.57
Sm  0.6346  0.6346  0.9888  6 O 2.31-2.57
Sm  0.6912  0.6912  0.6378  6 O 2.31-2.49
Sm  0.9673  0.9673  0.6873  4 O 2.28-2.33
O  0.1286  0.1286  0.7836  5 Sm 2.33-2.57
O  0.1752  0.1752  0.4716  4 Sm 2.28-2.33
O  0.2043  0.2043  0.1244  3 Sm 2.31-2.37
O  0.4725  0.4725  0.8437  4 Sm 2.28-2.46
O  0.5000  0.5000  0.5000  6 Sm 2.57-2.81
O  0.5275  0.5275  0.1563  4 Sm 2.28-2.46
O  0.7957  0.7957  0.8756  3 Sm 2.31-2.37
O  0.8248  0.8248  0.5284  4 Sm 2.28-2.33
O  0.8714  0.8714  0.2164  5 Sm 2.33-2.57

Calculated values
Density   7.58 g/cm³
Formation energy (no corrections)   -3410 meV/atom
Spin magnetization   0.000 μB/atom


Compound: SmO3
Source: Alexandria via LeMat-Bulk
Functional: PBE
Structure: relaxed

abc: 6.7164 6.7164 3.5178
angles: 90.00 90.00 120.00
With the nearest neighbours (Å) after each atom.
Sites, in units of the cell vectors:
Sm  0.3333  0.6667  0.2500  9 O 2.37-2.47
Sm  0.6667  0.3333  0.7500  9 O 2.37-2.47
O  0.0578  0.6280  0.7500  2 O 2.31, 3 Sm 2.37-2.47
O  0.3720  0.4297  0.7500  2 O 2.31, 3 Sm 2.37-2.47
O  0.4297  0.0578  0.2500  2 O 2.31, 3 Sm 2.37-2.47
O  0.5703  0.9422  0.7500  2 O 2.31, 3 Sm 2.37-2.47
O  0.6280  0.5703  0.2500  2 O 2.31, 3 Sm 2.37-2.47
O  0.9422  0.3720  0.2500  2 O 2.31, 3 Sm 2.37-2.47

Calculated values
Density   4.79 g/cm³
Formation energy (no corrections)   -1460 meV/atom
Spin magnetization   0.750 μB/atom


Compound: SmO
Source: Alexandria via LeMat-Bulk
Functional: PBE
Structure: relaxed

abc: 4.1009 4.1009 4.9881
angles: 90.00 90.00 119.90
With the nearest neighbours (Å) after each atom.
Sites, in units of the cell vectors:
Sm  0.1668  0.8332  0.7500  5 O 2.37-2.49
Sm  0.8332  0.1668  0.2500  5 O 2.37-2.49
O  0.1671  0.8329  0.2500  5 Sm 2.37-2.49
O  0.8329  0.1671  0.7500  5 Sm 2.37-2.49

Calculated values
Density   7.60 g/cm³
Formation energy (no corrections)   -2704 meV/atom
Spin magnetization   0.001 μB/atom
Relative energy among the computed polymorphs   0.056 eV per atom


Compound: SmO
Source: Alexandria via LeMat-Bulk
Functional: PBE
Structure: relaxed

abc: 3.5106 3.5106 3.5106
angles: 60.00 60.00 60.00
With the nearest neighbours (Å) after each atom.
Sites, in units of the cell vectors:
Sm  0.0000  0.0000  0.0000  6 O 2.48
O  0.5000  0.5000  0.5000  6 Sm 2.48

Calculated values
Density   9.03 g/cm³
Formation energy (no corrections)   -2759 meV/atom
Spin magnetization   0.000 μB/atom
Relative energy among the computed polymorphs   0.000 eV per atom


Compound: Sm3O2
Source: Alexandria via LeMat-Bulk
Functional: PBE
Structure: relaxed

abc: 6.7487 6.7487 6.7487
angles: 54.85 54.85 54.85
With the nearest neighbours (Å) after each atom.
Sites, in units of the cell vectors:
Sm  0.0786  0.7500  0.4214  4 O 2.51
Sm  0.2500  0.5786  0.9214  4 O 2.51
Sm  0.4214  0.0786  0.7500  4 O 2.51
Sm  0.5786  0.9214  0.2500  4 O 2.51
Sm  0.7500  0.4214  0.0786  4 O 2.51
Sm  0.9214  0.2500  0.5786  4 O 2.51
O  0.1646  0.1646  0.1646  6 Sm 2.51
O  0.3354  0.3354  0.3354  6 Sm 2.51
O  0.6646  0.6646  0.6646  6 Sm 2.51
O  0.8354  0.8354  0.8354  6 Sm 2.51

Calculated values
Density   8.39 g/cm³
Formation energy (no corrections)   -2138 meV/atom
Spin magnetization   0.000 μB/atom


Compound: Sm4O
Source: Alexandria via LeMat-Bulk
Functional: PBE
Structure: relaxed

abc: 6.5711 6.5711 10.6487
angles: 114.16 114.16 47.88
With the nearest neighbours (Å) after each atom.
Sites, in units of the cell vectors:
Sm  0.1182  0.1206  0.1869  1 O 2.26
Sm  0.1206  0.1182  0.6869  1 O 2.26
Sm  0.3760  0.3840  0.5665  1 O 2.26
Sm  0.3840  0.3760  0.0665  1 O 2.26
Sm  0.6160  0.6240  0.9335  1 O 2.26
Sm  0.6240  0.6160  0.4335  1 O 2.26
Sm  0.8794  0.8818  0.3131  1 O 2.26
Sm  0.8818  0.8794  0.8131  1 O 2.26
O  0.2483  0.7517  0.7500  4 Sm 2.26
O  0.7517  0.2483  0.2500  4 Sm 2.26

Calculated values
Density   6.72 g/cm³
Formation energy (no corrections)   -1055 meV/atom
Spin magnetization   0.000 μB/atom
Relative energy among the computed polymorphs   0.033 eV per atom


Compound: SmSnO
Source: Alexandria via LeMat-Bulk
Functional: PBE
Structure: relaxed

abc: 3.8405 3.8405 8.4828
angles: 90.00 90.00 90.00
With the nearest neighbours (Å) after each atom.
Sites, in units of the cell vectors:
Sm  0.2500  0.2500  0.1572  1 O 2.21
Sm  0.7500  0.7500  0.8428  1 O 2.21
Sn  0.2500  0.7500  0.5000  4 Sn 2.72
Sn  0.7500  0.2500  0.5000  4 Sn 2.72
O  0.2500  0.2500  0.8963  1 Sm 2.21
O  0.7500  0.7500  0.1037  1 Sm 2.21

Calculated values
Density   7.57 g/cm³
Formation energy (no corrections)   -1663 meV/atom
Spin magnetization   0.000 μB/atom